Entry 1:
DFT (PBEsol) results for a relaxed CrCuSeF2 crystal.

The value obtained for the volume is 82.3 Å³/f.u. The density of states at the Fermi level comes out at 0.374 states/eV/atom. The calculation puts the total energy at -22.319 eV for the cell shown. The total magnetization is 3.822 μB per cell. For the formation energy without anion corrections, the calculation gives -0.18 kcal/mol of atoms.

a = 4.0803 Å, b = 4.0803 Å, c = 4.9451 Å
α = 90.00°, β = 90.00°, γ = 90.00°
Last column: magnetic moment on the atom in μB.
Atoms (fractional coordinates):
Cr1 0.0000 0.0000 0.5000  3.60
Cu1 0.5000 0.5000 0.5000  0.02
Se1 0.0000 0.0000 0.0000  -0.19
F1 0.0000 0.5000 0.0000  0.02
F2 0.5000 0.0000 0.0000  0.02

***

Entry 2:
DFT (PBEsol) results for a relaxed CrCuSiF2 crystal.

The value obtained for the volume is 75.2 Å³/f.u. The density of states at the Fermi level comes out at 0.404 states/eV/atom. The calculation puts the total energy at -27.955 eV for the cell shown. The total magnetization is 3.350 μB per cell. For the formation energy without anion corrections, the calculation gives -17.42 kcal/mol of atoms.

a = 3.6790 Å, b = 3.6790 Å, c = 5.5541 Å
α = 90.00°, β = 90.00°, γ = 90.00°
Last column: magnetic moment on the atom in μB.
Atoms (fractional coordinates):
Cr1 0.0000 0.0000 0.0000  3.13
Si1 0.5000 0.5000 0.5000  -0.03
Cu1 0.0000 0.0000 0.5000  0.02
F1 0.0000 0.5000 0.0000  0.04
F2 0.5000 0.0000 0.0000  0.04

***

Entry 3:
DFT (PBEsol) results for a relaxed Zr2CrCuF crystal.

The value obtained for the volume is 86.4 Å³/f.u. The density of states at the Fermi level comes out at 0.964 states/eV/atom. The calculation puts the total energy at -33.888 eV for the cell shown. The total magnetization is 0.129 μB per cell. For the formation energy without anion corrections, the calculation gives 3.67 kcal/mol of atoms.

a = 3.7064 Å, b = 4.8269 Å, c = 4.8269 Å
α = 90.00°, β = 90.00°, γ = 90.00°
Last column: magnetic moment on the atom in μB.
Atoms (fractional coordinates):
Cr1 0.0000 0.0000 0.0000  0.16
Cu1 0.5000 0.5000 0.5000  0.00
Zr1 0.0000 0.0000 0.5000  -0.01
Zr2 0.0000 0.5000 0.0000  -0.01
F1 0.5000 0.0000 0.0000  0.00

***

Entry 4:
DFT (PBEsol) results for a relaxed CrFeCu2 crystal.

The value obtained for the volume is 44.4 Å³/f.u. The density of states at the Fermi level comes out at 0.979 states/eV/atom. For the formation energy, the calculation gives 0.228 eV/atom. The calculation puts the total energy at -26.964 eV for the cell shown. The total magnetization is 0.186 μB per cell.

a = 2.4990 Å, b = 3.5009 Å, c = 5.0753 Å
α = 90.00°, β = 90.00°, γ = 90.00°
Last column: magnetic moment on the atom in μB.
Atoms (fractional coordinates):
Cr1 0.5000 0.5000 0.7296  -1.26
Cu1 0.0000 0.0000 0.0089  -0.04
Cu2 0.5000 0.5000 0.2442  -0.01
Fe1 0.0000 0.0000 0.5173  1.19

***

Entry 5:
DFT (PBEsol) results for a relaxed Cr4FeCuSe8 crystal.

The value obtained for the volume is 270.3 Å³/f.u. The density of states at the Fermi level comes out at 0.718 states/eV/atom. The calculation puts the total energy at -90.344 eV for the cell shown. The total magnetization is 14.432 μB per cell. For the formation energy without anion corrections, the calculation gives -8.69 kcal/mol of atoms.

a = 7.2578 Å, b = 7.2578 Å, c = 7.2578 Å
α = 60.00°, β = 60.00°, γ = 60.00°
Last column: magnetic moment on the atom in μB.
Atoms (fractional coordinates):
Cr1 0.8770 0.3691 0.8770  2.90
Cr2 0.8770 0.8770 0.8770  2.90
Cr3 0.3691 0.8770 0.8770  2.90
Cr4 0.8770 0.8770 0.3691  2.90
Fe1 0.5000 0.5000 0.5000  2.72
Cu1 0.2500 0.2500 0.2500  -0.09
Se1 0.1178 0.6466 0.1178  -0.12
Se2 0.1178 0.1178 0.1178  -0.12
Se3 0.6466 0.1178 0.1178  -0.12
Se4 0.1178 0.1178 0.6466  -0.12
Se5 0.6321 0.1038 0.6321  -0.08
Se6 0.6321 0.6321 0.6321  -0.08
Se7 0.1038 0.6321 0.6321  -0.08
Se8 0.6321 0.6321 0.1038  -0.08

***

Entry 6:
DFT (PBEsol) results for a relaxed Cr4GaCuSe8 crystal.

The value obtained for the volume is 278.0 Å³/f.u. The density of states at the Fermi level comes out at 0.358 states/eV/atom. The calculation puts the total energy at -86.148 eV for the cell shown. The total magnetization is 11.804 μB per cell. For the formation energy without anion corrections, the calculation gives -11.04 kcal/mol of atoms.

a = 7.3258 Å, b = 7.3258 Å, c = 7.3258 Å
α = 60.00°, β = 60.00°, γ = 60.00°
Last column: magnetic moment on the atom in μB.
Atoms (fractional coordinates):
Cr1 0.8789 0.3634 0.8789  2.90
Cr2 0.8789 0.8789 0.8789  2.90
Cr3 0.3634 0.8789 0.8789  2.90
Cr4 0.8789 0.8789 0.3634  2.90
Ga1 0.5000 0.5000 0.5000  0.05
Cu1 0.2500 0.2500 0.2500  -0.06
Se1 0.1172 0.6483 0.1172  -0.09
Se2 0.1172 0.1172 0.1172  -0.09
Se3 0.6483 0.1172 0.1172  -0.09
Se4 0.1172 0.1172 0.6483  -0.09
Se5 0.6357 0.0929 0.6357  -0.05
Se6 0.6357 0.6357 0.6357  -0.05
Se7 0.0929 0.6357 0.6357  -0.05
Se8 0.6357 0.6357 0.0929  -0.05

***

Entry 7:
DFT (PBEsol) results for a relaxed CrCu2H2 crystal.

The value obtained for the volume is 40.4 Å³/f.u. The density of states at the Fermi level comes out at 0.477 states/eV/atom. The calculation puts the total energy at -23.420 eV for the cell shown. The total magnetization is 0.000 μB per cell.

a = 2.5527 Å, b = 2.5527 Å, c = 6.4504 Å
α = 101.41°, β = 101.41°, γ = 90.00°
Atoms (fractional coordinates):
Cr1 0.0000 0.0000 0.0000
Cu1 0.3485 0.3485 0.6971
Cu2 0.6515 0.6515 0.3029
H1 0.2500 0.7500 0.5000
H2 0.7500 0.2500 0.5000

***

Entry 8:
DFT (PBEsol) results for a relaxed Sr2CrCuH crystal.

The value obtained for the volume is 107.8 Å³/f.u. The density of states at the Fermi level comes out at 0.614 states/eV/atom. The calculation puts the total energy at -20.181 eV for the cell shown. The total magnetization is 4.290 μB per cell.

a = 3.8731 Å, b = 5.2755 Å, c = 5.2755 Å
α = 90.00°, β = 90.00°, γ = 90.00°
Last column: magnetic moment on the atom in μB.
Atoms (fractional coordinates):
Sr1 0.0000 0.0000 0.5000  0.02
Sr2 0.0000 0.5000 0.0000  0.02
H1 0.0000 0.0000 0.0000  -0.02
Cu1 0.5000 0.5000 0.5000  0.02
Cr1 0.5000 0.0000 0.0000  3.77

***

Entry 9:
DFT (PBEsol) results for a relaxed HfCrCu2 crystal.

The value obtained for the volume is 58.2 Å³/f.u. The density of states at the Fermi level comes out at 1.016 states/eV/atom. For the formation energy, the calculation gives 0.156 eV/atom. The calculation puts the total energy at -28.789 eV for the cell shown. The total magnetization is 3.850 μB per cell.

a = 4.3507 Å, b = 4.3507 Å, c = 4.3507 Å
α = 60.00°, β = 60.00°, γ = 60.00°
Last column: magnetic moment on the atom in μB.
Atoms (fractional coordinates):
Cr1 0.0000 0.0000 0.0000  3.23
Hf1 0.5000 0.5000 0.5000  0.08
Cu1 0.2500 0.2500 0.2500  0.09
Cu2 0.7500 0.7500 0.7500  0.09

***

Entry 10:
DFT (PBEsol) results for a relaxed Cr2CuHg crystal.

The value obtained for the volume is 55.9 Å³/f.u. The density of states at the Fermi level comes out at 0.708 states/eV/atom. For the formation energy, the calculation gives 0.496 eV/atom. The calculation puts the total energy at -23.399 eV for the cell shown. The total magnetization is 0.000 μB per cell.

a = 2.9315 Å, b = 4.3220 Å, c = 4.7975 Å
α = 104.35°, β = 107.79°, γ = 90.00°
Atoms (fractional coordinates):
Cr1 0.2420 0.1715 0.4840
Cr2 0.7580 0.8285 0.5160
Cu1 0.5000 0.0000 0.0000
Hg1 0.0000 0.5000 0.0000

***

Entry 11:
DFT (PBEsol) results for a relaxed Cr2CuHg crystal.

The value obtained for the volume is 56.3 Å³/f.u. The density of states at the Fermi level comes out at 0.629 states/eV/atom. For the formation energy, the calculation gives 0.494 eV/atom. The calculation puts the total energy at -23.408 eV for the cell shown. The total magnetization is 0.001 μB per cell.

a = 3.2661 Å, b = 3.2661 Å, c = 5.2776 Å
α = 90.00°, β = 90.00°, γ = 90.00°
Atoms (fractional coordinates):
Cr1 0.0000 0.0000 0.8191
Cr2 0.0000 0.0000 0.1809
Cu1 0.5000 0.5000 0.0000
Hg1 0.5000 0.5000 0.5000

***

Entry 12:
DFT (PBEsol) results for a relaxed Cr2CuHg crystal.

The value obtained for the volume is 58.3 Å³/f.u. The density of states at the Fermi level comes out at 0.763 states/eV/atom. For the formation energy, the calculation gives 0.478 eV/atom. The calculation puts the total energy at -23.475 eV for the cell shown. The total magnetization is 0.097 μB per cell.

a = 4.3519 Å, b = 4.3519 Å, c = 4.3519 Å
α = 60.00°, β = 60.00°, γ = 60.00°
Last column: magnetic moment on the atom in μB.
Atoms (fractional coordinates):
Cr1 0.0000 0.0000 0.0000  2.98
Cr2 0.7500 0.7500 0.7500  -3.02
Cu1 0.5000 0.5000 0.5000  -0.07
Hg1 0.2500 0.2500 0.2500  0.04

***

Entry 13:
DFT (PBEsol) results for a relaxed CrCu2Hg crystal.

The value obtained for the volume is 57.7 Å³/f.u. The density of states at the Fermi level comes out at 0.612 states/eV/atom. For the formation energy, the calculation gives 0.380 eV/atom. The calculation puts the total energy at -17.958 eV for the cell shown. The total magnetization is 3.343 μB per cell.

a = 2.9369 Å, b = 4.5841 Å, c = 4.6376 Å
α = 101.94°, β = 90.00°, γ = 108.68°
Last column: magnetic moment on the atom in μB.
Atoms (fractional coordinates):
Cr1 0.5000 0.0000 0.0000  3.06
Cu1 0.7560 0.5120 0.7765  0.07
Cu2 0.2440 0.4880 0.2235  0.07
Hg1 0.0000 0.0000 0.5000  0.00

***

Entry 14:
DFT (PBEsol) results for a relaxed CrCu2Hg crystal.

The value obtained for the volume is 57.4 Å³/f.u. The density of states at the Fermi level comes out at 0.536 states/eV/atom. For the formation energy, the calculation gives 0.362 eV/atom. The calculation puts the total energy at -18.028 eV for the cell shown. The total magnetization is 3.510 μB per cell.

a = 4.3302 Å, b = 4.3302 Å, c = 4.3302 Å
α = 60.00°, β = 60.00°, γ = 60.00°
Last column: magnetic moment on the atom in μB.
Atoms (fractional coordinates):
Cr1 0.5000 0.5000 0.5000  3.27
Cu1 0.0000 0.0000 0.0000  0.01
Cu2 0.7500 0.7500 0.7500  0.06
Hg1 0.2500 0.2500 0.2500  0.01

***

Entry 15:
DFT (PBEsol) results for a relaxed Mn2CrCuHg crystal.

The value obtained for the volume is 120.3 Å³/f.u. The density of states at the Fermi level comes out at 0.722 states/eV/atom. For the formation energy, the calculation gives 1.754 eV/atom. The calculation puts the total energy at -25.895 eV for the cell shown. The total magnetization is 12.943 μB per cell.

a = 4.9067 Å, b = 4.9067 Å, c = 4.9985 Å
α = 90.00°, β = 90.00°, γ = 90.00°
Last column: magnetic moment on the atom in μB.
Atoms (fractional coordinates):
Cr1 0.0000 0.0000 0.5000  3.81
Mn1 0.0000 0.5000 0.0000  4.06
Mn2 0.5000 0.0000 0.0000  4.06
Hg1 0.0000 0.0000 0.0000  0.01
Cu1 0.5000 0.5000 0.5000  0.01

***

Entry 16:
DFT (PBEsol) results for a relaxed CrCuI3 crystal.

The value obtained for the volume is 157.1 Å³/f.u. The density of states at the Fermi level comes out at 0.292 states/eV/atom. The calculation puts the total energy at -17.550 eV for the cell shown. The total magnetization is 3.797 μB per cell. For the formation energy without anion corrections, the calculation gives 10.73 kcal/mol of atoms.

a = 5.3963 Å, b = 5.3963 Å, c = 5.3963 Å
α = 90.00°, β = 90.00°, γ = 90.00°
Last column: magnetic moment on the atom in μB.
Atoms (fractional coordinates):
I1 0.0000 0.5000 0.0000  -0.02
I2 0.0000 0.0000 0.5000  -0.02
I3 0.5000 0.0000 0.0000  -0.02
Cr1 0.0000 0.0000 0.0000  3.44
Cu1 0.5000 0.5000 0.5000  0.02

***

Entry 17:
DFT (PBEsol) results for a relaxed CrCuIN2 crystal.

The value obtained for the volume is 88.9 Å³/f.u. The density of states at the Fermi level comes out at 0.639 states/eV/atom. The calculation puts the total energy at -25.273 eV for the cell shown. The total magnetization is 6.811 μB per cell. For the formation energy without anion corrections, the calculation gives 37.47 kcal/mol of atoms.

a = 3.7601 Å, b = 3.7601 Å, c = 6.2901 Å
α = 90.00°, β = 90.00°, γ = 90.00°
Last column: magnetic moment on the atom in μB.
Atoms (fractional coordinates):
I1 0.0000 0.0000 0.5000  0.03
Cr1 0.5000 0.5000 0.5000  4.00
Cu1 0.0000 0.0000 0.0000  0.26
N1 0.0000 0.5000 0.0000  0.71
N2 0.5000 0.0000 0.0000  0.71

***

Entry 18:
DFT (PBEsol) results for a relaxed CrIn2Cu crystal.

The value obtained for the volume is 71.1 Å³/f.u. The density of states at the Fermi level comes out at 0.500 states/eV/atom. For the formation energy, the calculation gives 0.339 eV/atom. The calculation puts the total energy at -19.184 eV for the cell shown. The total magnetization is 3.676 μB per cell.

a = 3.2152 Å, b = 3.7373 Å, c = 5.9210 Å
α = 90.00°, β = 90.00°, γ = 90.00°
Last column: magnetic moment on the atom in μB.
Atoms (fractional coordinates):
Cr1 0.0000 0.0000 0.5125  3.34
Cu1 0.5000 0.5000 0.7372  0.06
In1 0.0000 0.0000 0.9690  -0.01
In2 0.5000 0.5000 0.2813  -0.01

***

Entry 19:
DFT (PBEsol) results for a relaxed Cr3InCu crystal.

The value obtained for the volume is 93.6 Å³/f.u. The density of states at the Fermi level comes out at 1.240 states/eV/atom. For the formation energy, the calculation gives 1.295 eV/atom. The calculation puts the total energy at -31.568 eV for the cell shown. The total magnetization is 11.223 μB per cell.

a = 4.5397 Å, b = 4.5397 Å, c = 4.5397 Å
α = 90.00°, β = 90.00°, γ = 90.00°
Last column: magnetic moment on the atom in μB.
Atoms (fractional coordinates):
Cr1 0.0000 0.5000 0.0000  3.38
Cr2 0.0000 0.0000 0.5000  3.38
Cr3 0.5000 0.0000 0.0000  3.38
Cu1 0.0000 0.0000 0.0000  0.29
In1 0.5000 0.5000 0.5000  -0.12

***

Entry 20:
DFT (PBEsol) results for a relaxed CrIn2Cu crystal.

The value obtained for the volume is 66.4 Å³/f.u. The density of states at the Fermi level comes out at 0.475 states/eV/atom. For the formation energy, the calculation gives 0.273 eV/atom. The calculation puts the total energy at -19.451 eV for the cell shown. The total magnetization is 2.765 μB per cell.

a = 3.1057 Å, b = 3.1057 Å, c = 6.8843 Å
α = 90.00°, β = 90.00°, γ = 90.00°
Last column: magnetic moment on the atom in μB.
Atoms (fractional coordinates):
Cr1 0.5000 0.5000 0.0000  2.69
Cu1 0.5000 0.5000 0.5000  0.00
In1 0.0000 0.0000 0.7459  -0.05
In2 0.0000 0.0000 0.2541  -0.05